CdMo2Pt: optimized geometry, GGA-PBEsol.

Summary:
**Fermi-level density of states**: 4.0 states/eV/f.u.
**Formation energy**: 0.148 eV/atom
**VASP energy**: -31.10 eV/cell
**Magnetic moment**: 0.00 μB/cell
**Space group**: No. 160

a = 9.6811 Å, b = 9.6811 Å, c = 9.6811 Å
α = 16.57°, β = 16.57°, γ = 16.57°
Element x y z (fractional)
Cd1 0.0000 0.0000 0.0000
Mo1 0.5045 0.5045 0.5045
Mo2 0.7551 0.7551 0.7551
Pt1 0.2476 0.2476 0.2476

=====

Cd2MoPt: optimized geometry, GGA-PBEsol.

Summary:
**Fermi-level density of states**: 3.2 states/eV/f.u.
**Formation energy**: 0.207 eV/atom
**VASP energy**: -20.30 eV/cell
**Magnetic moment**: 0.00 μB/cell
**Space group**: No. 10

a = 2.7644 Å, b = 4.7117 Å, c = 5.2126 Å
α = 90.00°, β = 95.45°, γ = 90.00°
Element x y z (fractional)
Cd1 0.1925 0.0000 0.2508
Cd2 0.8075 0.0000 0.7492
Mo1 0.5000 0.5000 0.0000
Pt1 0.0000 0.5000 0.5000

=====

CdMoPt2: optimized geometry, GGA-PBEsol.

Summary:
**Fermi-level density of states**: 3.9 states/eV/f.u.
**Formation energy**: -0.010 eV/atom
**VASP energy**: -26.93 eV/cell
**Magnetic moment**: 0.86 μB/cell
**Space group**: No. 139

a = 4.8566 Å, b = 4.8566 Å, c = 4.8566 Å
α = 131.45°, β = 131.45°, γ = 71.11°
Element x y z (fractional)
Cd1 0.0000 0.0000 0.0000
Mo1 0.5000 0.5000 0.0000
Pt1 0.2500 0.7500 0.5000
Pt2 0.7500 0.2500 0.5000

=====

CdMoPt2: optimized geometry, GGA-PBEsol.

Summary:
**Fermi-level density of states**: 1.7 states/eV/f.u.
**Formation energy**: 0.052 eV/atom
**VASP energy**: -26.68 eV/cell
**Magnetic moment**: 0.00 μB/cell
**Space group**: No. 99

a = 3.2396 Å, b = 3.2396 Å, c = 6.2041 Å
α = 90.00°, β = 90.00°, γ = 90.00°
Element x y z (fractional)
Cd1 0.0000 0.0000 0.0000
Mo1 0.5000 0.5000 0.2971
Pt1 0.0000 0.0000 0.4977
Pt2 0.5000 0.5000 0.7461

=====

CdMoPt: optimized geometry, GGA-PBEsol.

Summary:
**Fermi-level density of states**: 2.4 states/eV/f.u.
**Formation energy**: 0.168 eV/atom
**VASP energy**: -19.43 eV/cell
**Magnetic moment**: 0.00 μB/cell
**Space group**: No. 156

a = 4.5474 Å, b = 4.5474 Å, c = 2.7051 Å
α = 90.00°, β = 90.00°, γ = 120.00°
Element x y z (fractional)
Cd1 0.0000 0.0000 0.0000
Mo1 0.3333 0.6667 0.5018
Pt1 0.6667 0.3333 0.0038

=====

Cd2ReMo: optimized geometry, GGA-PBEsol.

Summary:
**Fermi-level density of states**: 3.3 states/eV/f.u.
**Formation energy**: 0.291 eV/atom
**Energy above the lowest structure with this stoichiometry**: 0 meV per atom
**VASP energy**: -26.33 eV/cell
**Magnetic moment**: 0.00 μB/cell
**Space group**: No. 160

a = 9.7604 Å, b = 9.7604 Å, c = 9.7604 Å
α = 16.98°, β = 16.98°, γ = 16.98°
Element x y z (fractional)
Cd1 0.0000 0.0000 0.0000
Cd2 0.2400 0.2400 0.2400
Re1 0.4884 0.4884 0.4884
Mo1 0.7531 0.7531 0.7531